# 1
Here is a geometry-optimized Y2Zn3Pd2 structure from Alexandria. Energies are from PBE-GGA.

Electronic total energy, eV per atom: -4.53
Magnetization, μB per formula unit: 0.000

Structure (CIF):
```
data_Y2Zn3Pd2
_chemical_formula_sum 'Y4 Zn6 Pd4'
_space_group_name_H-M_alt 'C 1 2/m 1'
_space_group_IT_number 12
_space_group_name_Hall '-C 2y'
_cell_length_a 9.730
_cell_length_b 4.306
_cell_length_c 6.897
_cell_angle_alpha 90.00
_cell_angle_beta 111.64
_cell_angle_gamma 90.00
loop_
_atom_site_label
_atom_site_type_symbol
_atom_site_fract_x
_atom_site_fract_y
_atom_site_fract_z
_atom_site_occupancy
Y1 Y 0.145 0.000 0.266 1
Zn1 Zn 0.000 0.500 0.500 1
Zn2 Zn 0.120 0.500 0.935 1
Pd1 Pd 0.141 0.000 0.705 1
```

=====

# 2
Here is a geometry-optimized YZn3Pd structure from Alexandria. Energies are from PBE-GGA.

Electronic total energy, eV per atom: -3.53
Magnetization, μB per formula unit: 0.000
ΔE to the lowest computed polymorph, eV/atom: 0.0000

Structure (CIF):
```
data_YZn3Pd
_chemical_formula_sum 'Y4 Zn12 Pd4'
_space_group_name_H-M_alt 'P 1 21/c 1'
_space_group_IT_number 14
_space_group_name_Hall '-P 2ybc'
_cell_length_a 7.196
_cell_length_b 6.213
_cell_length_c 8.414
_cell_angle_alpha 90.00
_cell_angle_beta 105.84
_cell_angle_gamma 90.00
loop_
_atom_site_label
_atom_site_type_symbol
_atom_site_fract_x
_atom_site_fract_y
_atom_site_fract_z
_atom_site_occupancy
Y1 Y 0.241 0.015 0.248 1
Zn1 Zn 0.185 0.556 0.368 1
Zn2 Zn 0.318 0.569 0.120 1
Zn3 Zn 0.466 0.207 0.028 1
Pd1 Pd 0.044 0.215 0.471 1
```

=====

# 3
Here is a geometry-optimized YZn3Pd2 structure from Alexandria. Energies are from PBE-GGA.

Electronic total energy, eV per atom: -3.98
Magnetization, μB per formula unit: 0.000

Structure (CIF):
```
data_YZn3Pd2
_chemical_formula_sum 'Y4 Zn12 Pd8'
_space_group_name_H-M_alt 'C 1 2/m 1'
_space_group_IT_number 12
_space_group_name_Hall '-C 2y'
_cell_length_a 13.827
_cell_length_b 4.164
_cell_length_c 8.437
_cell_angle_alpha 90.00
_cell_angle_beta 119.97
_cell_angle_gamma 90.00
loop_
_atom_site_label
_atom_site_type_symbol
_atom_site_fract_x
_atom_site_fract_y
_atom_site_fract_z
_atom_site_occupancy
Y1 Y 0.134 0.000 0.017 1
Zn1 Zn 0.053 0.000 0.389 1
Zn2 Zn 0.090 0.500 0.707 1
Zn3 Zn 0.216 0.500 0.544 1
Pd1 Pd 0.061 0.500 0.195 1
Pd2 Pd 0.211 0.000 0.732 1
```

=====

# 4
Here is a geometry-optimized YZn9Pd2 structure from Alexandria. Energies are from PBE-GGA.

Electronic total energy, eV per atom: -2.64
Magnetization, μB per formula unit: 0.000
ΔE to the lowest computed polymorph, eV/atom: 0.0723

Structure (CIF):
```
data_YZn9Pd2
_chemical_formula_sum 'Y1 Zn9 Pd2'
_space_group_name_H-M_alt 'P 6/m m m'
_space_group_IT_number 191
_space_group_name_Hall '-P 6 2'
_cell_length_a 8.7114
_cell_length_b 8.7114
_cell_length_c 2.9961
_cell_angle_alpha 90.00
_cell_angle_beta 90.00
_cell_angle_gamma 120.00
loop_
_atom_site_label
_atom_site_type_symbol
_atom_site_fract_x
_atom_site_fract_y
_atom_site_fract_z
_atom_site_occupancy
Y1 Y 0.0000 0.0000 0.0000 1
Zn1 Zn 0.0000 0.5000 0.0000 1
Zn2 Zn 0.1832 0.3664 0.5000 1
Pd1 Pd 0.3333 0.6667 0.0000 1
```

=====

# 5
Here is a geometry-optimized Y6Zn2Pd structure from Alexandria. Energies are from PBE-GGA.

Electronic total energy, eV per atom: -5.49
Magnetization, μB per formula unit: 0.000

Structure (CIF):
```
data_Y6Zn2Pd
_chemical_formula_sum 'Y24 Zn8 Pd4'
_space_group_name_H-M_alt 'I m m m'
_space_group_IT_number 71
_space_group_name_Hall '-I 2 2'
_cell_length_a 9.623
_cell_length_b 9.711
_cell_length_c 10.046
_cell_angle_alpha 90.00
_cell_angle_beta 90.00
_cell_angle_gamma 90.00
loop_
_atom_site_label
_atom_site_type_symbol
_atom_site_fract_x
_atom_site_fract_y
_atom_site_fract_z
_atom_site_occupancy
Y1 Y 0.000 0.175 0.216 1
Y2 Y 0.175 0.500 0.243 1
Y3 Y 0.191 0.240 0.500 1
Zn1 Zn 0.000 0.374 0.000 1
Zn2 Zn 0.138 0.000 0.000 1
Pd1 Pd 0.000 0.000 0.500 1
Pd2 Pd 0.000 0.500 0.500 1
```

=====

# 6
Here is a geometry-optimized YZn11Pd structure from Alexandria. Energies are from PBE-GGA.

Electronic total energy, eV per atom: -2.23
Magnetization, μB per formula unit: 0.000

Structure (CIF):
```
data_YZn11Pd
_chemical_formula_sum 'Y2 Zn22 Pd2'
_space_group_name_H-M_alt 'C 1 2/m 1'
_space_group_IT_number 12
_space_group_name_Hall '-C 2y'
_cell_length_a 5.226
_cell_length_b 12.596
_cell_length_c 6.778
_cell_angle_alpha 90.00
_cell_angle_beta 112.03
_cell_angle_gamma 90.00
loop_
_atom_site_label
_atom_site_type_symbol
_atom_site_fract_x
_atom_site_fract_y
_atom_site_fract_z
_atom_site_occupancy
Y1 Y 0.000 0.000 0.000 1
Zn1 Zn 0.000 0.500 0.500 1
Zn2 Zn 0.105 0.391 0.215 1
Zn3 Zn 0.167 0.176 0.354 1
Zn4 Zn 0.250 0.250 0.000 1
Pd1 Pd 0.000 0.000 0.500 1
```

=====

no.,DOS(E_F) (states/eV per atom)
1,0.59
2,0.44
3,0.40
4,0.40
5,1.07
6,0.30